Record 1
First-principles (PBE) data for a relaxed Na2SrIn2 crystal, as listed in Alexandria via LeMat-Bulk.

Unit cell a=8.2933 b=8.2933 c=8.2933 alpha=147.65 beta=147.65 gamma=46.41
Last column: nearest neighbours and their distance in Å.
Sites, in units of the cell vectors:
Na: 0.2500 0.7500 0.5000  4 Na 3.27, 4 In 3.27
Na: 0.7500 0.2500 0.5000  4 Na 3.27, 4 In 3.27
Sr: 0.0000 0.0000 0.0000  8 In 3.59
In: 0.4017 0.4017 0.0000  1 In 3.00, 4 Na 3.27
In: 0.5983 0.5983 0.0000  1 In 3.00, 4 Na 3.27

Summary:
Its crystal system is tetragonal. The energy of formation from the pure elements is -16 kJ/mol of atoms. The value obtained for the offset from the most stable computed form is 0.0 meV/atom. Its volume is 32.55 Å³ per atom.

Record 2
First-principles (PBE) data for a relaxed Te2AsP crystal, as listed in Alexandria via LeMat-Bulk.

Unit cell a=5.0168 b=5.0168 c=5.0168 alpha=60.00 beta=60.00 gamma=60.00
Last column: nearest neighbours and their distance in Å.
Sites, in units of the cell vectors:
Te: 0.2500 0.2500 0.2500  4 As 3.07, 4 P 3.07
Te: 0.7500 0.7500 0.7500  4 As 3.07, 4 P 3.07
As: 0.0000 0.0000 0.0000  8 Te 3.07
P: 0.5000 0.5000 0.5000  8 Te 3.07

Summary:
Its crystal system is cubic. The uncorrected formation energy comes out at 0.555 eV per atom. The value obtained for the offset from the most stable computed form is 418.8 meV/atom. Its volume is 22.32 Å³ per atom.

Record 3
First-principles (PBE) data for a relaxed Pr5Er5Th2 crystal, as listed in Alexandria via LeMat-Bulk.

Unit cell a=6.2248 b=8.0581 c=8.8559 alpha=111.02 beta=90.38 gamma=104.93
Last column: nearest neighbours and their distance in Å.
Sites, in units of the cell vectors:
Pr: 0.0000 0.0000 0.0000  6 Er 3.59-3.61, 2 Th 3.64, 4 Pr 3.64-3.66
Pr: 0.0832 0.7428 0.5816  4 Pr 3.51-3.74, 6 Er 3.56-3.68, 2 Th 3.63-3.64
Pr: 0.2531 0.2600 0.7534  6 Er 3.53-3.70, 3 Th 3.55-3.56, 3 Pr 3.61-3.74
Pr: 0.7469 0.7400 0.2466  6 Er 3.53-3.70, 3 Th 3.55-3.56, 3 Pr 3.61-3.74
Pr: 0.9168 0.2572 0.4184  4 Pr 3.51-3.74, 6 Er 3.56-3.68, 2 Th 3.63-3.64
Er: 0.3357 0.9961 0.3299  1 Th 3.56, 4 Er 3.59-3.64, 7 Pr 3.59-3.70
Er: 0.4145 0.7479 0.9168  5 Pr 3.53-3.61, 3 Th 3.54-3.62, 4 Er 3.59-3.64
Er: 0.5000 0.5000 0.5000  6 Pr 3.56-3.58, 4 Er 3.63-3.64, 2 Th 3.65
Er: 0.5855 0.2521 0.0832  5 Pr 3.53-3.61, 3 Th 3.54-3.62, 4 Er 3.59-3.64
Er: 0.6643 0.0039 0.6701  1 Th 3.56, 4 Er 3.59-3.64, 7 Pr 3.59-3.70
Th: 0.1665 0.5033 0.1617  1 Th 3.50, 5 Er 3.54-3.65, 6 Pr 3.55-3.64
Th: 0.8335 0.4967 0.8383  1 Th 3.50, 5 Er 3.54-3.65, 6 Pr 3.55-3.64

Summary:
Its crystal system is triclinic. The energy of formation from the pure elements is 4 kJ/mol of atoms. Its volume is 33.19 Å³ per atom.

Record 4
First-principles (PBE) data for a relaxed Tb2CePr6Er crystal, as listed in Alexandria via LeMat-Bulk.

Unit cell a=6.7011 b=6.7011 c=8.9118 alpha=101.45 beta=101.45 gamma=64.35
Last column: nearest neighbours and their distance in Å.
Sites, in units of the cell vectors:
Tb: 0.0918 0.0918 0.1641  1 Tb 3.17, 4 Pr 3.24-3.52, 1 Er 3.39
Tb: 0.9082 0.9082 0.8359  1 Tb 3.17, 4 Pr 3.24-3.52, 1 Er 3.39
Ce: 0.5000 0.5000 0.0000  6 Pr 3.53-3.65, 4 Tb 3.90
Pr: 0.0611 0.5946 0.2046  2 Tb 3.24-3.52, 1 Pr 3.33, 1 Er 3.33, 1 Ce 3.53
Pr: 0.3744 0.3744 0.5831  5 Pr 3.51-3.80, 1 Ce 3.65
Pr: 0.4054 0.9389 0.7954  2 Tb 3.24-3.52, 1 Pr 3.33, 1 Er 3.33, 1 Ce 3.53
Pr: 0.5946 0.0611 0.2046  2 Tb 3.24-3.52, 1 Pr 3.33, 1 Er 3.33, 1 Ce 3.53
Pr: 0.6256 0.6256 0.4169  5 Pr 3.51-3.80, 1 Ce 3.65
Pr: 0.9389 0.4054 0.7954  2 Tb 3.24-3.52, 1 Pr 3.33, 1 Er 3.33, 1 Ce 3.53
Er: 0.0000 0.0000 0.5000  4 Pr 3.33, 2 Tb 3.39

Summary:
Its crystal system is monoclinic. The energy of formation from the pure elements is 22 kJ/mol of atoms. Its volume is 35.07 Å³ per atom.

Record 5
First-principles (PBE) data for a relaxed Li2ReNi crystal, as listed in Alexandria via LeMat-Bulk.

Unit cell a=5.0193 b=5.0193 c=2.4815 alpha=90.00 beta=90.00 gamma=121.86
Last column: nearest neighbours and their distance in Å.
Sites, in units of the cell vectors:
Li: 0.0000 0.5000 0.0000  4 Li 2.44-2.48
Li: 0.5000 0.0000 0.0000  4 Li 2.44-2.48
Re: 0.0000 0.0000 0.5000  2 Ni 2.44, 2 Re 2.48
Ni: 0.5000 0.5000 0.5000  2 Re 2.44, 2 Ni 2.48

Summary:
Its crystal system is orthorhombic. The energy of formation from the pure elements is 30 kJ/mol of atoms. The value obtained for the offset from the most stable computed form is 202.3 meV/atom. Its volume is 13.28 Å³ per atom.

Record 6
First-principles (PBE) data for a relaxed CePu2Ni2Sb2 crystal, as listed in Alexandria via LeMat-Bulk.

Unit cell a=9.7288 b=9.7288 c=9.7288 alpha=24.83 beta=24.83 gamma=24.83
Last column: nearest neighbours and their distance in Å.
Sites, in units of the cell vectors:
Ce: 0.0000 0.0000 0.0000  6 Sb 3.14
Pu: 0.1549 0.1549 0.1549  3 Pu 2.51
Pu: 0.8451 0.8451 0.8451  3 Pu 2.51
Ni: 0.4362 0.4362 0.4362  3 Sb 2.58, 3 Pu 2.83
Ni: 0.5638 0.5638 0.5638  3 Sb 2.58, 3 Pu 2.83
Sb: 0.2624 0.2624 0.2624  3 Ni 2.58
Sb: 0.7376 0.7376 0.7376  3 Ni 2.58

Summary:
Its crystal system is trigonal. The uncorrected formation energy comes out at -0.322 eV per atom. Its volume is 20.40 Å³ per atom.

Record 7
First-principles (PBE) data for a relaxed Th4GaOsSe2 crystal, as listed in Alexandria via LeMat-Bulk.

Unit cell a=7.3810 b=4.2017 c=7.5139 alpha=90.00 beta=108.55 gamma=90.00
Last column: nearest neighbours and their distance in Å.
Sites, in units of the cell vectors:
Th: 0.2287 0.0000 0.2217  2 Os 2.87, 1 Ga 2.98, 3 Se 3.08-3.18
Th: 0.2394 0.5000 0.7683  1 Os 2.85, 2 Ga 3.00, 2 Se 3.06
Th: 0.7606 0.5000 0.2317  1 Os 2.85, 2 Ga 3.00, 2 Se 3.06
Th: 0.7713 0.0000 0.7783  2 Os 2.87, 1 Ga 2.98, 3 Se 3.08-3.18
Ga: 0.5000 0.0000 0.0000  6 Th 2.98-3.00
Os: 0.0000 0.5000 0.0000  6 Th 2.85-2.87
Se: 0.0000 0.0000 0.5000  6 Th 3.06-3.08
Se: 0.5000 0.5000 0.5000  6 Th 3.18-3.20

Summary:
Its crystal system is monoclinic. The uncorrected formation energy comes out at -0.960 eV per atom. Its volume is 27.62 Å³ per atom.

Record 8
First-principles (PBE) data for a relaxed UB2C crystal, as listed in Alexandria via LeMat-Bulk.

Unit cell a=3.8816 b=5.1086 c=5.1086 alpha=111.08 beta=90.00 gamma=90.00
Last column: nearest neighbours and their distance in Å.
Sites, in units of the cell vectors:
U: 0.2500 0.1504 0.8496  3 C 2.19-2.34
U: 0.7500 0.8496 0.1504  3 C 2.19-2.34
B: 0.2500 0.5798 0.6873  1 B 1.68
B: 0.2500 0.6889 0.4146  1 C 1.55, 1 B 1.68
B: 0.7500 0.4146 0.6889  1 C 1.55, 1 B 1.68
B: 0.7500 0.6873 0.5798  1 B 1.68
C: 0.2500 0.9688 0.3589  1 B 1.55
C: 0.7500 0.3589 0.9688  1 B 1.55

Summary:
Its crystal system is orthorhombic. The energy of formation from the pure elements is 44 kJ/mol of atoms. Its volume is 11.82 Å³ per atom.

no.,VASP energy (hartree per atom)
1,-0.0780
2,-0.1298
3,-0.1870
4,-0.1695
5,-0.1912
6,-0.2975
7,-0.2691
8,-0.2945